Entry 1:
# Zr2Ga2Cu PBE relaxed
data_Zr2Ga2Cu
_chemical_formula_sum 'Zr4 Ga4 Cu2'
_cell_length_a 5.4461
_cell_length_b 5.4461
_cell_length_c 9.7149
_cell_angle_alpha 115.07
_cell_angle_beta 115.07
_cell_angle_gamma 44.17
_symmetry_space_group_name_H-M 'P 1'
_symmetry_Int_Tables_number 1
loop_
_symmetry_equiv_pos_as_xyz
'x,y,z'
loop_
_atom_site_label
_atom_site_type_symbol
_atom_site_fract_x
_atom_site_fract_y
_atom_site_fract_z
_atom_site_occupancy
Zr1 Zr 0.0016 0.0016 0.3221 1
Zr2 Zr 0.1832 0.1832 0.0969 1
Zr3 Zr 0.8168 0.8168 0.9031 1
Zr4 Zr 0.9984 0.9984 0.6779 1
Ga1 Ga 0.3563 0.3563 0.4350 1
Ga2 Ga 0.4748 0.4748 0.1176 1
Ga3 Ga 0.5252 0.5252 0.8824 1
Ga4 Ga 0.6437 0.6437 0.5650 1
Cu1 Cu 0.2794 0.2794 0.6543 1
Cu2 Cu 0.7206 0.7206 0.3457 1
# - DFT total energy: -59.69 eV per cell
# - Density of states at the Fermi level: 4.50 states/eV/cell
# - Theoretical density: 7.17 g cm⁻³
# - Crystal system: monoclinic
# - Calculated formation energy: -520 meV/atom

=====

Entry 2:
# ZrGaCu2 PBE relaxed
data_ZrGaCu2
_chemical_formula_sum 'Zr1 Ga1 Cu2'
_cell_length_a 4.0582
_cell_length_b 4.0582
_cell_length_c 3.8514
_cell_angle_alpha 90.00
_cell_angle_beta 90.00
_cell_angle_gamma 90.00
_symmetry_space_group_name_H-M 'P 1'
_symmetry_Int_Tables_number 1
loop_
_symmetry_equiv_pos_as_xyz
'x,y,z'
loop_
_atom_site_label
_atom_site_type_symbol
_atom_site_fract_x
_atom_site_fract_y
_atom_site_fract_z
_atom_site_occupancy
Zr1 Zr 0.0000 0.0000 0.0000 1
Ga1 Ga 0.5000 0.5000 0.0000 1
Cu1 Cu 0.0000 0.5000 0.5000 1
Cu2 Cu 0.5000 0.0000 0.5000 1
# - DFT total energy: -20.47 eV per cell
# - Density of states at the Fermi level: 3.88 states/eV/cell
# - Theoretical density: 7.54 g cm⁻³
# - Crystal system: tetragonal
# - Calculated formation energy: -175 meV/atom

=====

Entry 3:
# Zr4GaCu3 PBE relaxed
data_Zr4GaCu3
_chemical_formula_sum 'Zr4 Ga1 Cu3'
_cell_length_a 3.3198
_cell_length_b 4.1414
_cell_length_c 10.5685
_cell_angle_alpha 90.00
_cell_angle_beta 90.00
_cell_angle_gamma 90.00
_symmetry_space_group_name_H-M 'P 1'
_symmetry_Int_Tables_number 1
loop_
_symmetry_equiv_pos_as_xyz
'x,y,z'
loop_
_atom_site_label
_atom_site_type_symbol
_atom_site_fract_x
_atom_site_fract_y
_atom_site_fract_z
_atom_site_occupancy
Zr1 Zr 0.0000 0.0000 0.0000 1
Zr2 Zr 0.0000 0.5000 0.3033 1
Zr3 Zr 0.5000 0.0000 0.4904 1
Zr4 Zr 0.5000 0.5000 0.8107 1
Ga1 Ga 0.0000 0.0000 0.7217 1
Cu1 Cu 0.0000 0.5000 0.5794 1
Cu2 Cu 0.5000 0.0000 0.2211 1
Cu3 Cu 0.5000 0.5000 0.0823 1
# - DFT total energy: -51.38 eV per cell
# - Density of states at the Fermi level: 8.57 states/eV/cell
# - Theoretical density: 7.15 g cm⁻³
# - Crystal system: orthorhombic
# - Calculated formation energy: -234 meV/atom

=====

Entry 4:
# ZrGa2Cu2 PBE relaxed
data_ZrGa2Cu2
_chemical_formula_sum 'Zr2 Ga4 Cu4'
_cell_length_a 7.4388
_cell_length_b 7.4388
_cell_length_c 2.7859
_cell_angle_alpha 90.00
_cell_angle_beta 90.00
_cell_angle_gamma 90.00
_symmetry_space_group_name_H-M 'P 1'
_symmetry_Int_Tables_number 1
loop_
_symmetry_equiv_pos_as_xyz
'x,y,z'
loop_
_atom_site_label
_atom_site_type_symbol
_atom_site_fract_x
_atom_site_fract_y
_atom_site_fract_z
_atom_site_occupancy
Zr1 Zr 0.0000 0.0000 0.0000 1
Zr2 Zr 0.5000 0.5000 0.0000 1
Ga1 Ga 0.1760 0.3240 0.5000 1
Ga2 Ga 0.3240 0.8240 0.5000 1
Ga3 Ga 0.6760 0.1760 0.5000 1
Ga4 Ga 0.8240 0.6760 0.5000 1
Cu1 Cu 0.1203 0.6203 0.0000 1
Cu2 Cu 0.3797 0.1203 0.0000 1
Cu3 Cu 0.6203 0.8797 0.0000 1
Cu4 Cu 0.8797 0.3797 0.0000 1
# - DFT total energy: -47.55 eV per cell
# - Density of states at the Fermi level: 6.38 states/eV/cell
# - Theoretical density: 7.71 g cm⁻³
# - Crystal system: tetragonal
# - Calculated formation energy: -196 meV/atom